Record 1
TlPCl2: relaxed, PBE.

## Properties
symmetry	Cmmm
energy	-11.6	eV for the cell shown
calculated volume	103.6	Å³/f.u.
energy relative to the lowest polymorph listed for this composition	249	meV/atom
formation energy from raw total energies	-0.0356	eV/atom

Unit cell a=3.7030 b=3.7030 c=9.2552 alpha=90.00 beta=90.00 gamma=125.26
Last column: nearest neighbours and their distance in Å.
Fractional coordinates of all 4 atoms:
Tl  0.0000  0.0000  0.0000  4 Cl 3.34, 6 Tl 3.41-3.70
P  0.0000  0.0000  0.5000  4 Cl 2.45
Cl  0.5000  0.5000  0.3103  2 P 2.45
Cl  0.5000  0.5000  0.6897  2 P 2.45

=====

Record 2
TlP2Cl: relaxed, PBE.

## Properties
symmetry	C2/m
energy	-15.7	eV for the cell shown
calculated volume	102.3	Å³/f.u.
energy relative to the lowest polymorph listed for this composition	83	meV/atom
formation energy from raw total energies	-0.1595	eV/atom

Unit cell a=6.3476 b=6.3476 c=4.9995 alpha=97.72 beta=97.72 gamma=30.86
Last column: nearest neighbours and their distance in Å.
Fractional coordinates of all 4 atoms:
Tl  0.0000  0.0000  0.0000  2 P 2.83, 4 Cl 3.02
P  0.2327  0.2327  0.1315  2 P 2.22
P  0.7673  0.7673  0.8685  2 P 2.22
Cl  0.5000  0.5000  0.5000  4 Tl 3.02, 2 Cl 3.38

=====

Record 3
TlPCl2: relaxed, PBE.

## Properties
symmetry	P2/m
energy	-12.2	eV for the cell shown
calculated volume	110.3	Å³/f.u.
energy relative to the lowest polymorph listed for this composition	105	meV/atom
formation energy from raw total energies	-0.1802	eV/atom

Unit cell a=5.3237 b=3.5467 c=6.4068 alpha=90.00 beta=114.20 gamma=90.00
Last column: nearest neighbours and their distance in Å.
Fractional coordinates of all 4 atoms:
Tl  0.0000  0.0000  0.0000  2 P 3.20, 2 Tl 3.55
P  0.0000  0.0000  0.5000  4 Cl 2.47
Cl  0.3367  0.5000  0.6984  2 P 2.47
Cl  0.6633  0.5000  0.3016  2 P 2.47

=====

Record 4
TlP2Cl: relaxed, PBE.

## Properties
symmetry	F-43m
energy	-12.9	eV for the cell shown
calculated volume	82.3	Å³/f.u.
energy relative to the lowest polymorph listed for this composition	771	meV/atom
formation energy from raw total energies	0.5278	eV/atom

Unit cell a=4.8819 b=4.8819 c=4.8819 alpha=60.00 beta=60.00 gamma=60.00
Last column: nearest neighbours and their distance in Å.
Fractional coordinates of all 4 atoms:
Tl  0.0000  0.0000  0.0000  4 P 2.99, 4 Cl 2.99
P  0.5000  0.5000  0.5000  4 Cl 2.99, 4 P 2.99
P  0.7500  0.7500  0.7500  4 Tl 2.99, 4 P 2.99
Cl  0.2500  0.2500  0.2500  4 Tl 2.99, 4 P 2.99

=====

Record 5
TlPCl: relaxed, PBE.

## Properties
symmetry	Fmm2
energy	-8.6	eV for the cell shown
calculated volume	74.3	Å³/f.u.
energy relative to the lowest polymorph listed for this composition	362	meV/atom
formation energy from raw total energies	0.3398	eV/atom

Unit cell a=6.4880 b=6.1486 c=3.6869 alpha=78.16 beta=68.05 gamma=33.79
Last column: nearest neighbours and their distance in Å.
Fractional coordinates of all 3 atoms:
Tl  0.0000  0.0000  0.0000  2 P 2.64
P  0.3681  0.3681  0.6319  2 Tl 2.64
Cl  0.6806  0.6806  0.3194  2 Tl 3.00, 2 P 3.05

=====

Record 6
TlPCl2: relaxed, PBE.

## Properties
symmetry	R-3m
energy	-10.8	eV for the cell shown
calculated volume	92.5	Å³/f.u.
energy relative to the lowest polymorph listed for this composition	460	meV/atom
formation energy from raw total energies	0.1750	eV/atom

Unit cell a=9.2410 b=9.2410 c=9.2410 alpha=21.45 beta=21.45 gamma=21.45
Last column: nearest neighbours and their distance in Å.
Fractional coordinates of all 4 atoms:
Tl  0.0000  0.0000  0.0000  6 Cl 3.16, 6 Tl 3.44
P  0.5000  0.5000  0.5000  6 Cl 2.86
Cl  0.2427  0.2427  0.2427  3 P 2.86, 3 Tl 3.16
Cl  0.7573  0.7573  0.7573  3 P 2.86, 3 Tl 3.16